# Cs2CdGaPt

A relaxed Cs2CdGaPt crystal (PBE-GGA, Alexandria via LeMat-Bulk).

## Properties
The calculation puts the formation energy at -0.09 eV/atom. For the total magnetic moment, the calculation gives 0.00 μB/cell. The calculation puts the density of states at the Fermi level at 0.58 states/eV per atom. The calculation puts the calculated total energy at -12.15 eV/cell.

Cell lengths 6.8294, 6.8294, 4.8365 Å; angles 90.00, 90.00, 90.00 degrees
Closest atoms and distances in Å follow each position.
Fractional positions:
Pt1 0.0000 0.0000 0.0000  2 Ga 2.42
Cd1 0.5000 0.5000 0.5000  8 Cs 4.18
Ga1 0.0000 0.0000 0.5000  2 Pt 2.42
Cs1 0.0000 0.5000 0.0000  2 Pt 3.41
Cs2 0.5000 0.0000 0.0000  2 Pt 3.41

# CsCd2GaPt

A relaxed CsCd2GaPt crystal (PBE-GGA, Alexandria via LeMat-Bulk).

## Properties
The calculation puts the formation energy at -0.29 eV/atom. For the total magnetic moment, the calculation gives 0.00 μB/cell. The calculation puts the density of states at the Fermi level at 0.27 states/eV per atom. The calculation puts the calculated total energy at -13.21 eV/cell.

Cell lengths 5.4268, 5.4268, 4.9088 Å; angles 90.00, 90.00, 90.00 degrees
Closest atoms and distances in Å follow each position.
Fractional positions:
Cd1 0.5000 0.0000 0.0000  2 Pt 2.71
Cd2 0.0000 0.5000 0.0000  2 Pt 2.71
Pt1 0.0000 0.0000 0.0000  2 Ga 2.45, 4 Cd 2.71
Ga1 0.0000 0.0000 0.5000  2 Pt 2.45
Cs1 0.5000 0.5000 0.5000  8 Cd 3.66, 4 Ga 3.84

# CsCdGa2Pt

A relaxed CsCdGa2Pt crystal (PBE-GGA, Alexandria via LeMat-Bulk).

## Properties
The calculation puts the formation energy at -0.25 eV/atom. For the total magnetic moment, the calculation gives 0.00 μB/cell. The calculation puts the density of states at the Fermi level at 0.56 states/eV per atom. The calculation puts the calculated total energy at -15.09 eV/cell.

Cell lengths 4.9965, 4.9965, 5.4378 Å; angles 90.00, 90.00, 90.00 degrees
Closest atoms and distances in Å follow each position.
Fractional positions:
Cd1 0.0000 0.0000 0.5000  2 Pt 2.72
Ga1 0.5000 0.0000 0.0000  2 Pt 2.50
Ga2 0.0000 0.5000 0.0000  2 Pt 2.50
Cs1 0.5000 0.5000 0.5000  4 Cd 3.53, 8 Ga 3.69
Pt1 0.0000 0.0000 0.0000  4 Ga 2.50, 2 Cd 2.72

# CsCd2GaPt

A relaxed CsCd2GaPt crystal (PBE-GGA, Alexandria via LeMat-Bulk).

## Properties
The calculation puts the formation energy at 0.61 eV/atom. For the total magnetic moment, the calculation gives 0.00 μB/cell. The calculation puts the density of states at the Fermi level at 0.35 states/eV per atom. The calculation puts the calculated total energy at -8.69 eV/cell.

Cell lengths 5.1280, 6.1926, 5.1280 Å; angles 90.00, 90.00, 90.00 degrees
Closest atoms and distances in Å follow each position.
Fractional positions:
Pt1 0.5000 0.5000 0.5000  4 Cs 3.63, 8 Cd 4.02
Cd1 0.5000 0.0000 0.0000  2 Ga 2.56
Cd2 0.0000 0.0000 0.5000  2 Ga 2.56
Ga1 0.0000 0.0000 0.0000  4 Cd 2.56
Cs1 0.0000 0.5000 0.0000  2 Ga 3.10

# Cs2RbCdGa

A relaxed Cs2RbCdGa crystal (PBE-GGA, Alexandria via LeMat-Bulk).

## Properties
The calculation puts the formation energy at 0.10 eV/atom. For the total magnetic moment, the calculation gives 0.31 μB/cell. The calculation puts the density of states at the Fermi level at 0.81 states/eV per atom. The calculation puts the calculated total energy at -6.10 eV/cell.

Cell lengths 7.4999, 7.4999, 5.4164 Å; angles 90.00, 90.00, 90.00 degrees
Closest atoms and distances in Å follow each position.
Fractional positions:
Ga1 0.0000 0.0000 0.0000  2 Cd 2.71
Cs1 0.5000 0.0000 0.0000  2 Ga 3.75
Cs2 0.0000 0.5000 0.0000  2 Ga 3.75
Cd1 0.0000 0.0000 0.5000  2 Ga 2.71
Rb1 0.5000 0.5000 0.5000  8 Cs 4.63

# CsRb2CdGa

A relaxed CsRb2CdGa crystal (PBE-GGA, Alexandria via LeMat-Bulk).

## Properties
The calculation puts the formation energy at 0.08 eV/atom. For the total magnetic moment, the calculation gives 0.00 μB/cell. The calculation puts the density of states at the Fermi level at 0.65 states/eV per atom. The calculation puts the calculated total energy at -6.33 eV/cell.

Cell lengths 7.1108, 7.1108, 5.4884 Å; angles 90.00, 90.00, 90.00 degrees
Closest atoms and distances in Å follow each position.
Fractional positions:
Rb1 0.5000 0.0000 0.0000  2 Ga 3.56
Rb2 0.0000 0.5000 0.0000  2 Ga 3.56
Cd1 0.0000 0.0000 0.5000  2 Ga 2.74
Cs1 0.5000 0.5000 0.5000  8 Rb 4.49, 4 Cd 5.03
Ga1 0.0000 0.0000 0.0000  2 Cd 2.74

# CsRb2CdGa

A relaxed CsRb2CdGa crystal (PBE-GGA, Alexandria via LeMat-Bulk).

## Properties
The calculation puts the formation energy at 0.11 eV/atom. For the total magnetic moment, the calculation gives 0.01 μB/cell. The calculation puts the density of states at the Fermi level at 0.59 states/eV per atom. The calculation puts the calculated total energy at -6.18 eV/cell.

Cell lengths 7.2281, 7.2281, 5.4764 Å; angles 90.00, 90.00, 90.00 degrees
Closest atoms and distances in Å follow each position.
Fractional positions:
Cd1 0.0000 0.0000 0.0000  2 Ga 2.74
Rb1 0.0000 0.5000 0.0000  2 Cd 3.61
Rb2 0.5000 0.0000 0.0000  2 Cd 3.61
Ga1 0.0000 0.0000 0.5000  2 Cd 2.74
Cs1 0.5000 0.5000 0.5000  8 Rb 4.53

# CsCdGaRh2

A relaxed CsCdGaRh2 crystal (PBE-GGA, Alexandria via LeMat-Bulk).

## Properties
The calculation puts the formation energy at 1.19 eV/atom. For the total magnetic moment, the calculation gives 0.59 μB/cell. The calculation puts the density of states at the Fermi level at 1.32 states/eV per atom. The calculation puts the calculated total energy at -13.53 eV/cell.

Cell lengths 5.1132, 6.1134, 5.1132 Å; angles 90.00, 90.00, 90.00 degrees
Closest atoms and distances in Å follow each position.
Fractional positions:
Cd1 0.0000 0.0000 0.0000  4 Rh 2.56
Rh1 0.0000 0.0000 0.5000  2 Cd 2.56
Rh2 0.5000 0.0000 0.0000  2 Cd 2.56
Ga1 0.5000 0.5000 0.5000  4 Cs 3.62, 8 Rh 3.98
Cs1 0.0000 0.5000 0.0000  2 Cd 3.06

# CsCdGa2S

A relaxed CsCdGa2S crystal (PBE-GGA, Alexandria via LeMat-Bulk).

## Properties
For the uncorrected formation energy, the calculation gives 1.17 eV/atom. For the total magnetic moment, the calculation gives 0.00 μB/cell. The calculation puts the density of states at the Fermi level at 0.67 states/eV per atom. The calculation puts the calculated total energy at -6.08 eV/cell.

Cell lengths 6.4027, 6.3799, 6.4027 Å; angles 90.00, 90.00, 90.00 degrees
Closest atoms and distances in Å follow each position.
Fractional positions:
Cd1 0.0000 0.5000 0.0000  2 Cs 3.19
Cs1 0.0000 0.0000 0.0000  2 Cd 3.19, 4 Ga 3.20
S1 0.5000 0.5000 0.5000  8 Ga 4.52, 4 Cd 4.53
Ga1 0.5000 0.0000 0.0000  2 Cs 3.20
Ga2 0.0000 0.0000 0.5000  2 Cs 3.20

# CsCd2GaS4

A relaxed CsCd2GaS4 crystal (PBE-GGA, Alexandria via LeMat-Bulk).

## Properties
For the uncorrected formation energy, the calculation gives -0.72 eV/atom. For the total magnetic moment, the calculation gives 0.00 μB/cell. The calculation puts the calculated total energy at -28.01 eV/cell.

Cell lengths 6.7770, 6.7196, 6.7196 Å; angles 89.00, 59.72, 59.72 degrees
Closest atoms and distances in Å follow each position.
Fractional positions:
Cd1 0.5000 0.2504 0.7496  4 S 2.65
Cd2 0.5000 0.7496 0.2504  4 S 2.65
S1 0.0001 0.8379 0.5444  1 Ga 2.30
S2 0.6176 0.5444 0.8379  1 Ga 2.30
S3 0.3824 0.1621 0.4556  1 Ga 2.30
S4 0.9999 0.4556 0.1621  1 Ga 2.30
Cs1 0.0000 0.0000 0.0000  4 S 3.27
Ga1 0.0000 0.5000 0.5000  4 S 2.30

# CsCdGaSb

A relaxed CsCdGaSb crystal (PBE-GGA, Alexandria via LeMat-Bulk).

## Properties
For the uncorrected formation energy, the calculation gives -0.19 eV/atom. For the total magnetic moment, the calculation gives 0.00 μB/cell. The calculation puts the density of states at the Fermi level at 0.44 states/eV per atom. The calculation puts the calculated total energy at -19.32 eV/cell.

Cell lengths 4.8108, 4.8108, 13.4556 Å; angles 90.00, 90.00, 90.00 degrees
Closest atoms and distances in Å follow each position.
Fractional positions:
Ga1 0.7500 0.2500 0.0000  4 Sb 2.83
Ga2 0.2500 0.7500 0.0000  4 Sb 2.83
Cd1 0.2500 0.7500 0.5000  4 Cd 3.40
Cd2 0.7500 0.2500 0.5000  4 Cd 3.40
Cs1 0.7500 0.7500 0.2540  4 Sb 3.91, 4 Cd 4.09, 4 Ga 4.18
Cs2 0.2500 0.2500 0.7460  4 Sb 3.91, 4 Cd 4.09, 4 Ga 4.18
Sb1 0.7500 0.7500 0.8894  4 Ga 2.83
Sb2 0.2500 0.2500 0.1106  4 Ga 2.83

# Cs2CdGaSb2

A relaxed Cs2CdGaSb2 crystal (PBE-GGA, Alexandria via LeMat-Bulk).

## Properties
For the uncorrected formation energy, the calculation gives -0.38 eV/atom. For the total magnetic moment, the calculation gives 0.00 μB/cell. The calculation puts the density of states at the Fermi level at 0.26 states/eV per atom. The calculation puts the calculated total energy at -32.33 eV/cell.

Cell lengths 7.2629, 7.2387, 10.0600 Å; angles 111.09, 111.16, 90.00 degrees
Closest atoms and distances in Å follow each position.
Fractional positions:
Cs1 0.9212 0.6675 0.3350  5 Sb 3.84-4.25, 2 Cd 3.86, 2 Ga 3.88
Cs2 0.0788 0.3325 0.6650  5 Sb 3.84-4.25, 2 Cd 3.86, 2 Ga 3.88
Cs3 0.4138 0.1675 0.3350  5 Sb 3.84-4.25, 2 Cd 3.86, 2 Ga 3.88
Cs4 0.5862 0.8325 0.6650  5 Sb 3.84-4.25, 2 Cd 3.86, 2 Ga 3.88
Sb1 0.3477 0.5869 0.1738  2 Ga 2.92, 2 Cd 3.02
Sb2 0.8261 0.0869 0.1738  2 Ga 2.92, 2 Cd 3.02
Sb3 0.6523 0.4131 0.8262  2 Ga 2.92, 2 Cd 3.02
Sb4 0.1739 0.9131 0.8262  2 Ga 2.92, 2 Cd 3.02
Ga1 0.5000 0.7500 0.0000  4 Sb 2.92
Ga2 0.5000 0.2500 0.0000  4 Sb 2.92
Cd1 0.0000 0.2500 0.0000  4 Sb 3.02
Cd2 0.0000 0.7500 0.0000  4 Sb 3.02

# CsCd2GaSe4

A relaxed CsCd2GaSe4 crystal (PBE-GGA, Alexandria via LeMat-Bulk).

## Properties
For the uncorrected formation energy, the calculation gives -0.69 eV/atom. For the total magnetic moment, the calculation gives 0.00 μB/cell. The calculation puts the density of states at the Fermi level at 0.63 states/eV per atom. The calculation puts the calculated total energy at -25.14 eV/cell.

Cell lengths 7.1322, 7.0117, 7.0117 Å; angles 88.12, 59.43, 59.43 degrees
Closest atoms and distances in Å follow each position.
Fractional positions:
Se1 0.9999 0.8418 0.5471  1 Ga 2.43
Se2 0.0001 0.4529 0.1582  1 Ga 2.43
Se3 0.3888 0.1582 0.4529  1 Ga 2.43
Se4 0.6112 0.5471 0.8418  1 Ga 2.43
Ga1 0.0000 0.5000 0.5000  4 Se 2.43
Cd1 0.5000 0.2501 0.7499  4 Se 2.77
Cd2 0.5000 0.7499 0.2501  4 Se 2.77
Cs1 0.0000 0.0000 0.0000  4 Se 3.40